Crystalline BaAg2Hg at its relaxed geometry. Source: Alexandria, functional GGA-PBEsol.

Cell and atoms, written as POSCAR:
```
BaAg2Hg
1.0
4.810 0.000 0.000
2.405 4.165 0.000
2.405 1.388 5.396
Hg Ag Ba
1 2 1
Direct
0.500 0.500 0.500
0.799 0.799 0.604
0.201 0.201 0.396
0.000 0.000 0.000
```

Summary:
Total magnetic moment   0.00 μB per formula unit

***

Crystalline BaAgHg2 at its relaxed geometry. Source: Alexandria, functional GGA-PBEsol.

Cell and atoms, written as POSCAR:
```
BaAgHg2
1.0
4.782 0.000 0.000
0.000 5.644 0.000
-2.391 -2.822 4.012
Hg Ag Ba
2 1 1
Direct
0.786 0.786 0.571
0.214 0.214 0.429
0.500 0.000 0.000
0.000 0.500 0.000
```

Summary:
Total magnetic moment   0.00 μB per formula unit

***

Crystalline BaAgHg2 at its relaxed geometry. Source: Alexandria, functional GGA-PBEsol.

Cell and atoms, written as POSCAR:
```
BaAgHg2
1.0
3.873 0.000 0.000
0.000 3.873 0.000
0.000 0.000 7.139
Hg Ag Ba
2 1 1
Direct
0.000 0.000 0.042
0.500 0.500 0.267
0.000 0.000 0.447
0.500 0.500 0.744
```

Summary:
Total magnetic moment   0.00 μB per formula unit

***

Crystalline BaAgHg2 at its relaxed geometry. Source: Alexandria, functional GGA-PBEsol.

Cell and atoms, written as POSCAR:
```
BaAgHg2
1.0
-1.383 4.662 -0.566
-4.320 1.040 -2.055
-4.250 1.797 4.014
Hg Ag Ba
2 1 1
Direct
0.033 0.033 0.901
0.780 0.780 0.661
0.446 0.446 0.663
0.241 0.241 0.276
```

Summary:
Total magnetic moment   0.00 μB per formula unit

***

Crystalline BaAg2Hg at its relaxed geometry. Source: Alexandria, functional GGA-PBEsol.

Cell and atoms, written as POSCAR:
```
BaAg2Hg
1.0
-3.565 2.173 -2.323
-1.834 -1.974 -3.946
-5.435 -2.642 0.955
Hg Ag Ba
1 2 1
Direct
0.708 0.708 0.875
0.988 0.988 0.037
0.299 0.299 0.102
0.503 0.503 0.492
```

Summary:
Total magnetic moment   0.00 μB per formula unit

***

Crystalline BaAgHg2 at its relaxed geometry. Source: Alexandria, functional GGA-PBEsol.

Cell and atoms, written as POSCAR:
```
BaAgHg2
1.0
-3.790 -2.818 -1.260
3.777 0.526 -3.059
1.152 -3.651 4.702
Hg Ag Ba
2 1 1
Direct
0.712 0.424 0.636
0.288 0.576 0.364
0.000 0.000 0.500
0.500 0.000 0.000
```

Summary:
Total magnetic moment   0.00 μB per formula unit

***

Crystalline Ba2Ag2Hg at its relaxed geometry. Source: Alexandria, functional GGA-PBEsol.

Cell and atoms, written as POSCAR:
```
Ba2Ag2Hg
1.0
-0.078 -0.158 4.595
8.557 -0.567 0.126
0.563 8.553 0.304
Hg Ag Ba
2 4 4
Direct
0.000 0.000 0.000
0.000 0.500 0.500
0.000 0.384 0.884
0.000 0.884 0.616
0.000 0.616 0.116
0.000 0.116 0.384
0.500 0.182 0.682
0.500 0.682 0.818
0.500 0.818 0.318
0.500 0.318 0.182
```

Summary:
Total magnetic moment   0.00 μB per formula unit

***

Crystalline BaAgI2 at its relaxed geometry. Source: Alexandria, functional GGA-PBEsol.

Cell and atoms, written as POSCAR:
```
BaAgI2
1.0
5.837 0.000 0.000
0.000 5.837 0.000
-2.918 -2.918 9.815
I Ba Ag
4 2 2
Direct
0.422 0.875 0.250
0.828 0.375 0.250
0.125 0.172 0.750
0.625 0.578 0.750
0.250 0.750 0.500
0.000 0.000 0.000
0.750 0.250 0.500
0.500 0.500 0.000
```

Summary:
E_form (uncorrected)   -0.6699 eV per atom
Total magnetic moment   0.00 μB per formula unit

***

Crystalline BaAgI2O at its relaxed geometry. Source: Alexandria, functional GGA-PBEsol.

Cell and atoms, written as POSCAR:
```
BaAgI2O
1.0
-0.952 -3.225 -2.812
4.878 2.031 -3.981
4.232 -3.993 3.148
I O Ba Ag
2 1 1 1
Direct
0.000 0.000 0.500
0.000 0.500 0.000
0.500 0.000 0.000
0.000 0.000 0.000
0.500 0.500 0.500
```

Summary:
E_form (uncorrected)   -0.3744 eV per atom
Total magnetic moment   0.00 μB per formula unit

***

Crystalline BaAg2SbI at its relaxed geometry. Source: Alexandria, functional GGA-PBEsol.

Cell and atoms, written as POSCAR:
```
BaAg2SbI
1.0
-2.750 -1.139 4.396
-1.956 -4.340 -2.349
4.816 -3.334 2.149
I Sb Ba Ag
1 1 1 2
Direct
0.000 0.000 0.000
0.000 0.000 0.500
0.500 0.500 0.500
0.000 0.500 0.000
0.500 0.000 0.000
```

Summary:
E_form (uncorrected)   0.2392 eV per atom
Total magnetic moment   0.00 μB per formula unit

***

Crystalline BaIn2Ag at its relaxed geometry. Source: Alexandria, functional GGA-PBEsol.

Cell and atoms, written as POSCAR:
```
BaIn2Ag
1.0
-0.183 2.711 3.887
-3.832 -0.114 2.792
1.181 -3.657 5.499
Ba Ag In
1 1 2
Direct
0.246 0.246 0.263
0.433 0.433 0.701
0.036 0.036 0.892
0.785 0.785 0.646
```

Summary:
Total magnetic moment   0.00 μB per formula unit

***

Crystalline BaInAg4 at its relaxed geometry. Source: Alexandria, functional GGA-PBEsol.

Cell and atoms, written as POSCAR:
```
BaInAg4
1.0
5.690 0.000 0.000
2.845 4.928 0.000
2.845 1.643 4.646
Ba Ag In
1 4 1
Direct
0.750 0.750 0.750
0.374 0.374 0.374
0.374 0.374 0.879
0.879 0.374 0.374
0.374 0.879 0.374
0.000 0.000 0.000
```

Summary:
Total magnetic moment   0.00 μB per formula unit

***

no.,calculated total energy (eV/atom),N(E_F) (states/eV per cell),density (Mg/m³)
1,-2.570,1.528,8.5
2,-1.942,2.899,9.9
3,-1.877,1.867,10.0
4,-1.981,2.722,9.5
5,-2.595,1.793,8.5
6,-1.984,2.479,9.7
7,-2.569,6.454,6.8
8,-2.918,3.380,5.0
9,-3.223,2.848,4.5
10,-2.780,2.038,5.7
11,-3.179,2.029,6.6
12,-3.224,2.661,8.7